The following is a DFT calculation (PBE) of crystalline Mn2AgTe at its relaxed geometry.

CIF file:
```
data_Mn2AgTe
_cell_length_a 4.217
_cell_length_b 4.217
_cell_length_c 8.116
_cell_angle_alpha 90.00
_cell_angle_beta 90.00
_cell_angle_gamma 90.00
_symmetry_space_group_name_H-M 'I 4/m m m'
_symmetry_Int_Tables_number 139
_symmetry_space_group_name_Hall '-I 4 2'
loop_
_atom_site_label
_atom_site_type_symbol
_atom_site_fract_x
_atom_site_fract_y
_atom_site_fract_z
_atom_site_occupancy
Mn1 Mn 0.000 0.500 0.250 1
Ag1 Ag 0.000 0.000 0.000 1
Te1 Te 0.000 0.000 0.500 1
```

Computed properties:
E_form (uncorrected): 321 meV per atom

=====

The following is a DFT calculation (PBE) of crystalline LiH2Ir at its relaxed geometry.

CIF file:
```
data_LiH2Ir
_cell_length_a 4.045
_cell_length_b 4.045
_cell_length_c 8.611
_cell_angle_alpha 90.00
_cell_angle_beta 90.00
_cell_angle_gamma 90.00
_symmetry_space_group_name_H-M 'I -4 2 d'
_symmetry_Int_Tables_number 122
_symmetry_space_group_name_Hall 'I -4 2bw'
loop_
_atom_site_label
_atom_site_type_symbol
_atom_site_fract_x
_atom_site_fract_y
_atom_site_fract_z
_atom_site_occupancy
Li1 Li 0.000 0.000 0.000 1
H1 H 0.226 0.250 0.625 1
Ir1 Ir 0.000 0.000 0.500 1
```

Computed properties:
energy above the lowest structure with this stoichiometry: 0.251 eV per formula unit

=====

The following is a DFT calculation (PBE) of crystalline Al3PIr at its relaxed geometry.

CIF file:
```
data_Al3PIr
_cell_length_a 4.709
_cell_length_b 4.709
_cell_length_c 4.709
_cell_angle_alpha 90.00
_cell_angle_beta 90.00
_cell_angle_gamma 90.00
_symmetry_space_group_name_H-M 'P m -3 m'
_symmetry_Int_Tables_number 221
_symmetry_space_group_name_Hall '-P 4 2 3'
loop_
_atom_site_label
_atom_site_type_symbol
_atom_site_fract_x
_atom_site_fract_y
_atom_site_fract_z
_atom_site_occupancy
Al1 Al 0.000 0.000 0.500 1
P1 P 0.500 0.500 0.500 1
Ir1 Ir 0.000 0.000 0.000 1
```

Computed properties:
energy above the lowest structure with this stoichiometry: 0.000 eV per formula unit
ΔE_f: 0.112 eV per atom

=====

The following is a DFT calculation (PBE) of crystalline Li2Zn5Ag12 at its relaxed geometry.

CIF file:
```
data_Li2Zn5Ag12
_cell_length_a 15.005
_cell_length_b 5.570
_cell_length_c 9.029
_cell_angle_alpha 90.00
_cell_angle_beta 105.29
_cell_angle_gamma 90.00
_symmetry_space_group_name_H-M 'C 1 2/m 1'
_symmetry_Int_Tables_number 12
_symmetry_space_group_name_Hall '-C 2y'
loop_
_atom_site_label
_atom_site_type_symbol
_atom_site_fract_x
_atom_site_fract_y
_atom_site_fract_z
_atom_site_occupancy
Li1 Li 0.000 0.245 0.000 1
Zn1 Zn 0.000 0.500 0.500 1
Zn2 Zn 0.138 0.000 0.862 1
Zn3 Zn 0.193 0.000 0.370 1
Ag1 Ag 0.017 0.000 0.347 1
Ag2 Ag 0.114 0.500 0.317 1
Ag3 Ag 0.153 0.247 0.612 1
Ag4 Ag 0.196 0.252 0.113 1
```

Computed properties:
ΔE_f: 0.060 eV per atom